PBEsol TlInPb2, optimized geometry; distance to the lowest polymorph of the same formula = 0.05 eV per formula unit; space-group type = P4mm; V = 113.0 Å³ per cell; DFT formation energy = 0.012 eV per atom
1.0
3.5894 0.0000 0.0000
0.0000 3.5894 0.0000
0.0000 0.0000 8.7695
In Pb Tl
1 2 1
Cartesian
1.7947 1.7947 6.5652
0.0000 0.0000 8.7143
1.7947 1.7947 2.1886
0.0000 0.0000 4.4555

PBEsol Tl2InPb, optimized geometry; distance to the lowest polymorph of the same formula = 0.10 eV per formula unit; space-group type = C2/m; V = 111.8 Å³ per cell; DFT formation energy = 0.024 eV per atom
1.0
-0.1814 -2.4484 -2.2261
0.9565 -3.2825 5.4086
-5.7006 2.5686 -0.8318
Tl Pb In
2 1 1
Cartesian
-2.8503 1.2843 -0.4159
-2.4628 -1.5811 1.1753
-0.0907 -1.2242 -1.1131
0.4782 -1.6413 2.7043

PBEsol TlInPb2, optimized geometry; distance to the lowest polymorph of the same formula = 0.03 eV per formula unit; space-group type = Pmm2; V = 113.0 Å³ per cell; DFT formation energy = 0.009 eV per atom
1.0
-1.2972 -3.2583 -0.2959
3.5235 -1.6383 2.5930
-3.7348 0.9704 5.6880
Pb Tl In
2 1 1
Cartesian
0.1745 -2.2044 2.5780
-3.7104 0.9641 5.6508
-1.8934 0.4920 2.8836
-1.6816 -1.7221 5.4048

PBEsol TlInPb2, optimized geometry; distance to the lowest polymorph of the same formula = 0.00 eV per formula unit; space-group type = R-3m; V = 113.2 Å³ per cell; DFT formation energy = 0.000 eV per atom
1.0
-0.3584 -2.0998 -2.6564
2.7383 -1.0075 -1.7554
1.9271 -9.9099 5.3912
Tl Pb In
1 2 1
Cartesian
2.1535 -6.5086 0.4897
1.0686 -3.1907 0.1956
3.2383 -9.8266 0.7837
0.0000 0.0000 0.0000

Electronic total energy
In order: -13.56, -12.14, -13.57, -13.61
Unit: eV/f.u.